Computed, not measured: Tb2CrSbO8 after structural relaxation at the PBE with a Hubbard U level of DFT.

POSCAR file:
```
Tb2CrSbO8
1.0
4.945 -0.096 -0.005
-0.091 4.945 -0.008
0.002 0.006 6.490
Tb Cr Sb O
2 1 1 8
Cartesian
2.395 2.395 4.850
2.460 2.459 1.628
0.001 0.003 3.245
0.000 0.000 0.000
0.785 4.034 1.639
3.460 3.459 6.448
4.034 0.781 1.640
4.071 0.820 4.839
1.396 1.395 0.030
0.822 4.073 4.837
3.596 3.593 3.272
1.260 1.261 3.206
```

As for the theoretical density: 6.49 g/cm³. The value obtained for the energy is -7.2223 eV per atom.